[1]
Computed, not measured: a relaxed structure of NaTmMg2 at the PBE-GGA level of DFT.

Values from the calculation:
**Crystal system**: tetragonal
**Raw total energy**: -8.8 eV per cell
**DOS at the Fermi energy**: 0.82 states/eV per atom
**Formation energy**: 0.05 eV per atom
**SG**: P4/mmm
**Size of the total moment**: 0.00 μB per atom
**E above lowest polymorph**: 0.000 eV per atom

Lattice parameters (Å, degrees): 3.384 3.384 9.725 90.00 90.00 90.00
Positions (direct):
Na (0.000, 0.000, 0.000)
Tm (0.000, 0.000, 0.500)
Mg (0.500, 0.500, 0.263)
Mg (0.500, 0.500, 0.737)

***

[2]
Computed, not measured: a relaxed structure of K2NaAgBr4 at the PBE-GGA level of DFT.

Values from the calculation:
**Crystal system**: monoclinic
**Raw total energy**: -47.2 eV per cell
**DOS at the Fermi energy**: 0.00 states/eV per atom
**SG**: C2/c
**Size of the total moment**: 0.00 μB per atom
**Formation energy without anion corrections**: -1317 meV/atom

Lattice parameters (Å, degrees): 8.919 8.919 8.837 119.56 119.56 91.17
Positions (direct):
K (0.000, 0.000, 0.000)
K (0.000, 0.000, 0.500)
K (0.000, 0.500, 0.000)
K (0.500, 0.000, 0.500)
Na (0.500, 0.500, 0.000)
Na (0.500, 0.500, 0.500)
Ag (0.000, 0.500, 0.500)
Ag (0.500, 0.000, 0.000)
Br (0.255, 0.740, 0.527)
Br (0.260, 0.745, 0.973)
Br (0.262, 0.275, 0.519)
Br (0.275, 0.262, 0.019)
Br (0.725, 0.738, 0.981)
Br (0.738, 0.725, 0.481)
Br (0.740, 0.255, 0.027)
Br (0.745, 0.260, 0.473)